Computed, not measured: crystalline Fe9B4Rh3 at its relaxed geometry at the PBE level of DFT.

Geometry as CIF:
```
data_Fe9B4Rh3
_chemical_formula_sum 'Fe9 B4 Rh3'
_cell_length_a 6.8646
_cell_length_b 4.4769
_cell_length_c 5.4580
_cell_angle_alpha 89.86
_cell_angle_beta 90.00
_cell_angle_gamma 90.00
_space_group_name_H-M_alt 'P 1'
_space_group_IT_number 1
loop_
_space_group_symop_operation_xyz
'x,y,z'
loop_
_atom_site_label
_atom_site_fract_x
_atom_site_fract_y
_atom_site_fract_z
Rh1 0.0000 0.8723 0.4735
Fe1 0.6857 0.6463 0.6729
Fe2 0.1939 0.1431 0.8214
Rh2 0.0000 0.6293 0.9724
B1 0.5000 0.9180 0.8806
Fe3 0.5000 0.1210 0.5250
Rh3 0.5000 0.3680 0.0270
Fe4 0.6886 0.8607 0.1812
Fe5 0.8061 0.1431 0.8214
Fe6 0.1930 0.3578 0.3264
Fe7 0.3143 0.6463 0.6729
Fe8 0.8070 0.3578 0.3264
B2 0.0000 0.4190 0.6212
B3 0.0000 0.0831 0.1175
Fe9 0.3114 0.8607 0.1812
B4 0.5000 0.5734 0.3790
```

Calculated values
energy relative to the elements = -0.22 eV per atom
symmetry = Pm (6)

***

Computed, not measured: crystalline FeBRh at its relaxed geometry at the PBE level of DFT.

Geometry as CIF:
```
data_FeBRh
_chemical_formula_sum 'Fe1 B1 Rh1'
_cell_length_a 3.6362
_cell_length_b 3.6362
_cell_length_c 3.6362
_cell_angle_alpha 60.00
_cell_angle_beta 60.00
_cell_angle_gamma 60.00
_space_group_name_H-M_alt 'P 1'
_space_group_IT_number 1
loop_
_space_group_symop_operation_xyz
'x,y,z'
loop_
_atom_site_label
_atom_site_fract_x
_atom_site_fract_y
_atom_site_fract_z
B1 0.2500 0.2500 0.2500
Fe1 0.5000 0.5000 0.5000
Rh1 0.0000 0.0000 0.0000
```

Calculated values
energy relative to the elements = -0.08 eV per atom
symmetry = F-43m (216)

***

Computed, not measured: crystalline Sc2FeB2RuRh4 at its relaxed geometry at the PBE level of DFT.

Geometry as CIF:
```
data_Sc2FeB2RuRh4
_chemical_formula_sum 'Sc4 Fe2 B4 Ru2 Rh8'
_cell_length_a 9.3603
_cell_length_b 9.3603
_cell_length_c 3.0350
_cell_angle_alpha 90.00
_cell_angle_beta 90.00
_cell_angle_gamma 90.00
_space_group_name_H-M_alt 'P 1'
_space_group_IT_number 1
loop_
_space_group_symop_operation_xyz
'x,y,z'
loop_
_atom_site_label
_atom_site_fract_x
_atom_site_fract_y
_atom_site_fract_z
Rh1 0.5722 0.7141 0.5000
Rh2 0.2141 0.0722 0.5000
Rh3 0.7859 0.9278 0.5000
Rh4 0.2859 0.5722 0.5000
Rh5 0.0722 0.7859 0.5000
Ru1 0.0000 0.5000 0.5000
B1 0.1232 0.6232 0.0000
B2 0.8768 0.3768 0.0000
Rh6 0.4278 0.2859 0.5000
Fe1 0.0000 0.0000 0.0000
Sc1 0.1737 0.3263 0.0000
Rh7 0.7141 0.4278 0.5000
Sc2 0.6737 0.1737 0.0000
Ru2 0.5000 0.0000 0.5000
Sc3 0.3263 0.8263 0.0000
B3 0.6232 0.8768 0.0000
Rh8 0.9278 0.2141 0.5000
Sc4 0.8263 0.6737 0.0000
B4 0.3768 0.1232 0.0000
Fe2 0.5000 0.5000 0.0000
```

Calculated values
energy relative to the elements = -0.70 eV per atom
symmetry = P4/mbm (127)

***

Computed, not measured: crystalline Sc2FeB2Ru2Rh3 at its relaxed geometry at the PBE level of DFT.

Geometry as CIF:
```
data_Sc2FeB2Ru2Rh3
_chemical_formula_sum 'Sc4 Fe2 B4 Ru4 Rh6'
_cell_length_a 3.0419
_cell_length_b 9.3112
_cell_length_c 9.3708
_cell_angle_alpha 90.00
_cell_angle_beta 90.00
_cell_angle_gamma 90.00
_space_group_name_H-M_alt 'P 1'
_space_group_IT_number 1
loop_
_space_group_symop_operation_xyz
'x,y,z'
loop_
_atom_site_label
_atom_site_fract_x
_atom_site_fract_y
_atom_site_fract_z
Fe1 0.0000 0.5000 0.5000
Rh1 0.5000 0.0000 0.5000
Sc1 0.0000 0.1751 0.3226
Sc2 0.0000 0.3249 0.8226
Rh2 0.5000 0.7164 0.4304
Ru1 0.5000 0.4303 0.2861
Rh3 0.5000 0.2836 0.5696
B1 0.0000 0.8790 0.3695
Ru2 0.5000 0.0697 0.7861
B2 0.0000 0.1210 0.6305
Fe2 0.0000 0.0000 0.0000
Rh4 0.5000 0.5000 0.0000
Sc3 0.0000 0.6751 0.1774
Rh5 0.5000 0.2164 0.0696
Sc4 0.0000 0.8249 0.6774
Ru3 0.5000 0.5697 0.7139
Ru4 0.5000 0.9303 0.2139
B3 0.0000 0.6210 0.8695
B4 0.0000 0.3790 0.1305
Rh6 0.5000 0.7836 0.9304
```

Calculated values
energy relative to the elements = -0.62 eV per atom
symmetry = Pbam (55)

***

Computed, not measured: crystalline Sc2FeB2Ru4Rh at its relaxed geometry at the PBE level of DFT.

Geometry as CIF:
```
data_Sc2FeB2Ru4Rh
_chemical_formula_sum 'Sc4 Fe2 B4 Ru8 Rh2'
_cell_length_a 9.3414
_cell_length_b 9.3414
_cell_length_c 3.0187
_cell_angle_alpha 90.00
_cell_angle_beta 90.00
_cell_angle_gamma 90.00
_space_group_name_H-M_alt 'P 1'
_space_group_IT_number 1
loop_
_space_group_symop_operation_xyz
'x,y,z'
loop_
_atom_site_label
_atom_site_fract_x
_atom_site_fract_y
_atom_site_fract_z
Rh1 0.0000 0.5000 0.5000
Ru1 0.7865 0.9298 0.5000
Sc1 0.3237 0.8237 0.0000
Ru2 0.0702 0.7865 0.5000
Sc2 0.6763 0.1763 0.0000
Ru3 0.4298 0.2865 0.5000
Sc3 0.8237 0.6763 0.0000
B1 0.3726 0.1274 0.0000
Rh2 0.5000 0.0000 0.5000
B2 0.1274 0.6274 0.0000
Ru4 0.7135 0.4298 0.5000
B3 0.8726 0.3726 0.0000
Sc4 0.1763 0.3237 0.0000
Fe1 0.5000 0.5000 0.0000
Ru5 0.2865 0.5702 0.5000
Ru6 0.9298 0.2135 0.5000
Ru7 0.5702 0.7135 0.5000
Ru8 0.2135 0.0702 0.5000
B4 0.6274 0.8726 0.0000
Fe2 0.0000 0.0000 0.0000
```

Calculated values
energy relative to the elements = -0.52 eV per atom
symmetry = P4/mbm (127)

***

Computed, not measured: crystalline Ti2FeB2Ru4Rh at its relaxed geometry at the PBE level of DFT.

Geometry as CIF:
```
data_Ti2FeB2Ru4Rh
_chemical_formula_sum 'Ti4 Fe2 B4 Ru8 Rh2'
_cell_length_a 2.9863
_cell_length_b 9.1563
_cell_length_c 9.2221
_cell_angle_alpha 89.95
_cell_angle_beta 90.00
_cell_angle_gamma 90.00
_space_group_name_H-M_alt 'P 1'
_space_group_IT_number 1
loop_
_space_group_symop_operation_xyz
'x,y,z'
loop_
_atom_site_label
_atom_site_fract_x
_atom_site_fract_y
_atom_site_fract_z
Ru1 0.5000 0.0000 0.5000
Ru2 0.5000 0.5000 0.0000
Ti1 0.0000 0.3238 0.8292
Ru3 0.5000 0.7889 0.9259
Rh1 0.5000 0.7132 0.4259
Ti2 0.0000 0.6762 0.1708
B1 0.0000 0.3762 0.1264
B2 0.0000 0.6238 0.8736
Fe1 0.0000 0.0000 0.0000
B3 0.0000 0.8785 0.3728
Ru4 0.5000 0.4262 0.2888
Ru5 0.5000 0.5738 0.7112
Fe2 0.0000 0.5000 0.5000
Rh2 0.5000 0.2868 0.5741
Ru6 0.5000 0.2111 0.0741
B4 0.0000 0.1215 0.6272
Ti3 0.0000 0.8259 0.6808
Ru7 0.5000 0.9251 0.2115
Ru8 0.5000 0.0749 0.7885
Ti4 0.0000 0.1741 0.3192
```

Calculated values
energy relative to the elements = -0.51 eV per atom
symmetry = P2/m (10)

***

Computed, not measured: crystalline Ti2FeB2Ru2Rh3 at its relaxed geometry at the PBE level of DFT.

Geometry as CIF:
```
data_Ti2FeB2Ru2Rh3
_chemical_formula_sum 'Ti4 Fe2 B4 Ru4 Rh6'
_cell_length_a 3.0137
_cell_length_b 9.1073
_cell_length_c 9.2620
_cell_angle_alpha 90.00
_cell_angle_beta 90.00
_cell_angle_gamma 90.00
_space_group_name_H-M_alt 'P 1'
_space_group_IT_number 1
loop_
_space_group_symop_operation_xyz
'x,y,z'
loop_
_atom_site_label
_atom_site_fract_x
_atom_site_fract_y
_atom_site_fract_z
Rh1 0.5000 0.7144 0.4288
Ru1 0.5000 0.5717 0.7140
B1 0.0000 0.8771 0.3712
Ru2 0.5000 0.9283 0.2140
Rh2 0.5000 0.7856 0.9288
Fe1 0.0000 0.5000 0.5000
B2 0.0000 0.3771 0.1288
Rh3 0.5000 0.5000 0.0000
Ti1 0.0000 0.6767 0.1789
Rh4 0.5000 0.2856 0.5712
Ru3 0.5000 0.0717 0.7860
Rh5 0.5000 0.0000 0.5000
B3 0.0000 0.1229 0.6288
Ti2 0.0000 0.3233 0.8211
B4 0.0000 0.6229 0.8712
Ru4 0.5000 0.4283 0.2860
Ti3 0.0000 0.8233 0.6789
Rh6 0.5000 0.2144 0.0712
Ti4 0.0000 0.1767 0.3211
Fe2 0.0000 0.0000 0.0000
```

Calculated values
energy relative to the elements = -0.55 eV per atom
symmetry = Pbam (55)

***

Computed, not measured: crystalline Fe2BRhS at its relaxed geometry at the PBE level of DFT.

Geometry as CIF:
```
data_Fe2BRhS
_chemical_formula_sum 'Fe2 B1 Rh1 S1'
_cell_length_a 3.9502
_cell_length_b 4.0963
_cell_length_c 3.9502
_cell_angle_alpha 90.00
_cell_angle_beta 90.00
_cell_angle_gamma 90.00
_space_group_name_H-M_alt 'P 1'
_space_group_IT_number 1
loop_
_space_group_symop_operation_xyz
'x,y,z'
loop_
_atom_site_label
_atom_site_fract_x
_atom_site_fract_y
_atom_site_fract_z
S1 0.5000 0.5000 0.5000
B1 0.0000 0.0000 0.0000
Fe1 0.5000 0.0000 0.0000
Rh1 0.0000 0.5000 0.0000
Fe2 0.0000 0.0000 0.5000
```

Calculated values
symmetry = P4/mmm (123)
formation energy from raw total energies = 128 kJ/mol of formula units

***

Computed, not measured: crystalline ScFeBRh2 at its relaxed geometry at the PBE level of DFT.

Geometry as CIF:
```
data_ScFeBRh2
_chemical_formula_sum 'Sc1 Fe1 B1 Rh2'
_cell_length_a 4.1218
_cell_length_b 4.1218
_cell_length_c 3.9664
_cell_angle_alpha 90.00
_cell_angle_beta 90.00
_cell_angle_gamma 90.00
_space_group_name_H-M_alt 'P 1'
_space_group_IT_number 1
loop_
_space_group_symop_operation_xyz
'x,y,z'
loop_
_atom_site_label
_atom_site_fract_x
_atom_site_fract_y
_atom_site_fract_z
Sc1 0.5000 0.5000 0.5000
Fe1 0.0000 0.0000 0.5000
B1 0.0000 0.0000 0.0000
Rh1 0.5000 0.0000 0.0000
Rh2 0.0000 0.5000 0.0000
```

Calculated values
energy relative to the elements = -0.56 eV per atom
symmetry = P4/mmm (123)

***

Computed, not measured: crystalline FeSi2BRh at its relaxed geometry at the PBE level of DFT.

Geometry as CIF:
```
data_FeSi2BRh
_chemical_formula_sum 'Fe1 Si2 B1 Rh1'
_cell_length_a 4.0252
_cell_length_b 3.9230
_cell_length_c 4.0252
_cell_angle_alpha 90.00
_cell_angle_beta 90.00
_cell_angle_gamma 90.00
_space_group_name_H-M_alt 'P 1'
_space_group_IT_number 1
loop_
_space_group_symop_operation_xyz
'x,y,z'
loop_
_atom_site_label
_atom_site_fract_x
_atom_site_fract_y
_atom_site_fract_z
B1 0.0000 0.0000 0.0000
Fe1 0.5000 0.5000 0.5000
Si1 0.5000 0.0000 0.0000
Si2 0.0000 0.0000 0.5000
Rh1 0.0000 0.5000 0.0000
```

Calculated values
symmetry = P4/mmm (123)
formation energy from raw total energies = 307 kJ/mol of formula units

***

Computed, not measured: crystalline FeSnBRh2 at its relaxed geometry at the PBE level of DFT.

Geometry as CIF:
```
data_FeSnBRh2
_chemical_formula_sum 'Fe1 Sn1 B1 Rh2'
_cell_length_a 4.1230
_cell_length_b 4.1230
_cell_length_c 3.9993
_cell_angle_alpha 90.00
_cell_angle_beta 90.00
_cell_angle_gamma 90.00
_space_group_name_H-M_alt 'P 1'
_space_group_IT_number 1
loop_
_space_group_symop_operation_xyz
'x,y,z'
loop_
_atom_site_label
_atom_site_fract_x
_atom_site_fract_y
_atom_site_fract_z
Sn1 0.5000 0.5000 0.5000
Fe1 0.0000 0.0000 0.5000
B1 0.0000 0.0000 0.0000
Rh1 0.5000 0.0000 0.0000
Rh2 0.0000 0.5000 0.0000
```

Calculated values
energy relative to the elements = -0.22 eV per atom
symmetry = P4/mmm (123)